The following is a GGA-PBE calculation of a geometry-optimized Zr2Bi2O5 structure, from OQMD.

Unit cell a=3.7671 b=3.7671 c=8.9559 alpha=90.00 beta=90.00 gamma=90.00
Closest atoms and distances in Å follow each position.
Sites, in units of the cell vectors:
Zr1 0.0000 0.0000 0.0000  8 Bi 3.28, 8 O 3.56
Zr2 0.0000 0.0000 0.5000  12 O 2.38-2.66
Bi1 0.5000 0.5000 0.2134  4 O 2.18
Bi2 0.5000 0.5000 0.7866  4 O 2.18
O1 0.0000 0.5000 0.3368  2 Bi 2.18, 2 O 2.38, 2 Zr 2.38
O2 0.0000 0.5000 0.6632  2 Bi 2.18, 2 O 2.38, 2 Zr 2.38
O3 0.5000 0.0000 0.3368  2 Bi 2.18, 2 O 2.38, 2 Zr 2.38
O4 0.5000 0.0000 0.6632  2 Bi 2.18, 2 O 2.38, 2 Zr 2.38
O5 0.5000 0.5000 0.5000  8 O 2.38, 2 Bi 2.57, 4 Zr 2.66

Properties
ρ: 8.89 g/cm3
distance to the lowest polymorph of the same formula: 985 meV per atom
total moment: 0.211 μB per atom

=====

The following is a GGA-PBE calculation of a geometry-optimized Zr2Bi2O5 structure, from OQMD.

Unit cell a=4.0882 b=4.0882 c=8.3728 alpha=90.00 beta=90.00 gamma=90.00
Closest atoms and distances in Å follow each position.
Sites, in units of the cell vectors:
Zr1 0.0000 0.0000 0.2479  5 O 2.08
Zr2 0.0000 0.0000 0.7521  5 O 2.08
Bi1 0.5000 0.5000 0.0000  12 O 2.66-2.89
Bi2 0.5000 0.5000 0.5000  8 O 3.22, 8 Zr 3.58
O1 0.0000 0.0000 0.0000  2 Zr 2.08
O2 0.0000 0.5000 0.2025  2 Zr 2.08
O3 0.0000 0.5000 0.7975  2 Zr 2.08
O4 0.5000 0.0000 0.2025  2 Zr 2.08
O5 0.5000 0.0000 0.7975  2 Zr 2.08

Properties
ρ: 8.07 g/cm3
distance to the lowest polymorph of the same formula: 0 meV per atom
total moment: 0.001 μB per atom

=====

The following is a GGA-PBE calculation of a geometry-optimized BiOs2 structure, from OQMD.

Unit cell a=5.4219 b=5.4219 c=5.4219 alpha=60.00 beta=60.00 gamma=60.00
Closest atoms and distances in Å follow each position.
Sites, in units of the cell vectors:
Bi1 0.1250 0.1250 0.1250  12 Os 3.18, 4 Bi 3.32
Bi2 0.8750 0.8750 0.8750  12 Os 3.18, 4 Bi 3.32
Os1 0.0000 0.5000 0.5000  6 Os 2.71
Os2 0.5000 0.0000 0.5000  6 Os 2.71
Os3 0.5000 0.5000 0.0000  6 Os 2.71
Os4 0.5000 0.5000 0.5000  6 Os 2.71

Properties
ρ: 17.37 g/cm3
distance to the lowest polymorph of the same formula: 0 meV per atom
total moment: 0.143 μB per atom